1.
The following is a GGA-PBE calculation of an optimized crystal structure of Er2PaNbN6, from the Alexandria database.

Lattice parameters (Å, degrees): 5.745 5.744 5.926 61.02 61.01 59.99
Fractional positions:
Er 0.533 0.533 0.401
Er 0.032 0.032 0.905
Pa 0.808 0.808 0.576
Nb 0.307 0.307 0.079
N 0.591 0.184 0.258
N 0.184 0.967 0.258
N 0.967 0.591 0.258
N 0.444 0.679 0.760
N 0.679 0.118 0.760
N 0.118 0.444 0.760

Computed properties:
symmetry: R3, No. 146
raw formation energy: -1.0766 eV/atom

2.
The following is a GGA-PBE calculation of an optimized crystal structure of ErPa2NbN6, from the Alexandria database.

Lattice parameters (Å, degrees): 5.788 5.788 5.962 60.96 60.96 60.00
Fractional positions:
Er 0.800 0.800 0.599
Pa 0.522 0.522 0.433
Pa 0.024 0.024 0.929
Nb 0.306 0.306 0.081
N 0.597 0.205 0.240
N 0.205 0.957 0.240
N 0.957 0.597 0.240
N 0.408 0.700 0.751
N 0.700 0.141 0.751
N 0.141 0.408 0.751

Computed properties:
symmetry: R3, No. 146
raw formation energy: -1.4349 eV/atom

3.
The following is a GGA-PBE calculation of an optimized crystal structure of PmErNbN3, from the Alexandria database.

Lattice parameters (Å, degrees): 3.333 6.578 9.377 95.16 90.00 90.00
Fractional positions:
Pm 0.750 0.804 0.761
Pm 0.250 0.196 0.239
Er 0.250 0.661 0.113
Er 0.750 0.339 0.887
Nb 0.250 0.138 0.580
Nb 0.750 0.862 0.420
N 0.250 0.803 0.544
N 0.750 0.889 0.204
N 0.750 0.402 0.126
N 0.750 0.197 0.456
N 0.250 0.598 0.874
N 0.250 0.111 0.796

Computed properties:
symmetry: P2_1/m, No. 11
raw formation energy: -1.1117 eV/atom

4.
The following is a GGA-PBE calculation of an optimized crystal structure of Pm2ErNbN4, from the Alexandria database.

Lattice parameters (Å, degrees): 3.402 5.896 5.966 108.95 90.00 90.00
Fractional positions:
Pm 0.500 0.000 0.500
Pm 0.000 0.500 0.500
Er 0.500 0.500 0.000
Nb 0.000 0.000 0.000
N 0.500 0.229 0.219
N 0.500 0.771 0.781
N 0.000 0.242 0.777
N 0.000 0.758 0.223

Computed properties:
symmetry: P2/m, No. 10
raw formation energy: -1.3935 eV/atom

5.
The following is a GGA-PBE calculation of an optimized crystal structure of PmEr2NbN4, from the Alexandria database.

Lattice parameters (Å, degrees): 3.389 6.165 12.039 90.00 90.00 105.95
Fractional positions:
Pm 0.104 0.208 0.750
Pm 0.896 0.792 0.250
Er 0.370 0.741 0.534
Er 0.630 0.259 0.034
Er 0.630 0.259 0.466
Er 0.370 0.741 0.966
Nb 0.842 0.685 0.750
Nb 0.158 0.315 0.250
N 0.259 0.518 0.120
N 0.741 0.482 0.620
N 0.741 0.482 0.880
N 0.259 0.518 0.380
N 0.000 0.000 0.500
N 0.000 0.000 0.000
N 0.452 0.903 0.750
N 0.548 0.097 0.250

Computed properties:
symmetry: Cmcm, No. 63
raw formation energy: -1.2885 eV/atom

6.
The following is a GGA-PBE calculation of an optimized crystal structure of PrErNbN3, from the Alexandria database.

Lattice parameters (Å, degrees): 3.366 6.692 9.402 95.83 90.00 90.00
Fractional positions:
Pr 0.750 0.806 0.763
Pr 0.250 0.194 0.237
Er 0.250 0.656 0.115
Er 0.750 0.344 0.885
Nb 0.250 0.137 0.580
Nb 0.750 0.863 0.420
N 0.250 0.807 0.540
N 0.750 0.881 0.206
N 0.750 0.402 0.123
N 0.750 0.193 0.460
N 0.250 0.598 0.877
N 0.250 0.119 0.794

Computed properties:
symmetry: P2_1/m, No. 11
raw formation energy: -1.0815 eV/atom

7.
The following is a GGA-PBE calculation of an optimized crystal structure of Er2PuNbN4, from the Alexandria database.

Lattice parameters (Å, degrees): 3.348 5.780 5.801 109.10 90.00 90.00
Last column: magnetic moment on the atom in μB.
Fractional positions:
Er 0.500 0.000 0.500  0.05
Er 0.000 0.500 0.500  0.10
Pu 0.500 0.500 0.000  4.44
Nb 0.000 0.000 0.000  0.10
N 0.500 0.238 0.236  -0.04
N 0.500 0.762 0.764  -0.04
N 0.000 0.244 0.759  -0.09
N 0.000 0.756 0.241  -0.09

Computed properties:
symmetry: P2/m, No. 10
raw formation energy: -1.4505 eV/atom

8.
The following is a GGA-PBE calculation of an optimized crystal structure of Sm2ErNbN4, from the Alexandria database.

Lattice parameters (Å, degrees): 3.392 5.882 5.935 109.00 90.00 90.00
Fractional positions:
Sm 0.500 0.000 0.500
Sm 0.000 0.500 0.500
Er 0.500 0.500 0.000
Nb 0.000 0.000 0.000
N 0.500 0.230 0.222
N 0.500 0.770 0.778
N 0.000 0.242 0.775
N 0.000 0.758 0.225

Computed properties:
symmetry: P2/m, No. 10
raw formation energy: -1.4190 eV/atom

9.
The following is a GGA-PBE calculation of an optimized crystal structure of SmEr2NbN4, from the Alexandria database.

Lattice parameters (Å, degrees): 3.379 6.149 12.033 90.00 90.00 105.95
Fractional positions:
Sm 0.106 0.212 0.750
Sm 0.894 0.788 0.250
Er 0.370 0.740 0.534
Er 0.630 0.260 0.034
Er 0.630 0.260 0.466
Er 0.370 0.740 0.966
Nb 0.844 0.689 0.750
Nb 0.156 0.311 0.250
N 0.259 0.518 0.121
N 0.741 0.482 0.621
N 0.741 0.482 0.879
N 0.259 0.518 0.379
N 0.000 0.000 0.500
N 0.000 0.000 0.000
N 0.455 0.910 0.750
N 0.545 0.090 0.250

Computed properties:
symmetry: Cmcm, No. 63
raw formation energy: -1.2868 eV/atom

10.
The following is a GGA-PBE calculation of an optimized crystal structure of TbErNbN3, from the Alexandria database.

Lattice parameters (Å, degrees): 3.332 5.750 8.603 103.05 90.00 90.00
Fractional positions:
Tb 0.750 0.653 0.688
Tb 0.250 0.347 0.312
Er 0.250 0.770 0.048
Er 0.750 0.230 0.952
Nb 0.250 0.136 0.635
Nb 0.750 0.864 0.365
N 0.250 0.749 0.488
N 0.750 0.046 0.169
N 0.750 0.560 0.178
N 0.750 0.251 0.512
N 0.250 0.440 0.822
N 0.250 0.954 0.831

Computed properties:
symmetry: P2_1/m, No. 11
raw formation energy: -1.4369 eV/atom

11.
The following is a GGA-PBE calculation of an optimized crystal structure of Tb2ErNbN4, from the Alexandria database.

Lattice parameters (Å, degrees): 3.356 5.827 5.840 109.12 90.00 90.00
Fractional positions:
Tb 0.500 0.000 0.500
Tb 0.000 0.500 0.500
Er 0.500 0.500 0.000
Nb 0.000 0.000 0.000
N 0.500 0.234 0.230
N 0.500 0.766 0.770
N 0.000 0.241 0.766
N 0.000 0.759 0.234

Computed properties:
symmetry: P2/m, No. 10
raw formation energy: -1.5188 eV/atom

12.
The following is a GGA-PBE calculation of an optimized crystal structure of ErThNbN3, from the Alexandria database.

Lattice parameters (Å, degrees): 3.407 5.846 8.704 102.97 90.00 90.00
Fractional positions:
Er 0.250 0.770 0.055
Er 0.750 0.230 0.945
Th 0.750 0.642 0.691
Th 0.250 0.358 0.309
Nb 0.250 0.119 0.626
Nb 0.750 0.881 0.374
N 0.250 0.746 0.488
N 0.750 0.050 0.170
N 0.750 0.560 0.173
N 0.750 0.254 0.512
N 0.250 0.440 0.827
N 0.250 0.950 0.830

Computed properties:
symmetry: P2_1/m, No. 11
raw formation energy: -1.4862 eV/atom